Sc3MnZn | SCAN | single point on PBEsol structure

abc: 4.733 4.733 4.733
angles: 90.00 90.00 90.00
Site moments in Bohr magnetons follow the coordinates.
Sites, in units of the cell vectors:
Zn 0.500 0.500 0.500  0.00
Sc 0.500 0.000 0.000  -0.10
Sc 0.000 0.500 0.000  -0.10
Sc 0.000 0.000 0.500  -0.10
Mn 0.000 0.000 0.000  0.89

Energy of formation (eV/atom): 0.262
Space-group type: Pm-3m
Total moment (μB per formula unit): 0.5